Record 1
# GGA-PBE ErPaSe2, optimized geometry
data_ErPaSe2
_cell_length_a 3.8536
_cell_length_b 3.8536
_cell_length_c 27.7202
_cell_angle_alpha 90.00
_cell_angle_beta 90.00
_cell_angle_gamma 120.00
_space_group_name_H-M_alt 'R -3 m'
_space_group_IT_number 166
_space_group_name_Hall '-R 3 2"'
loop_
_atom_site_label
_atom_site_type_symbol
_atom_site_fract_x
_atom_site_fract_y
_atom_site_fract_z
Er1 Er 0.0000 0.0000 0.0000
Pa1 Pa 0.0000 0.0000 0.5000
Se1 Se 0.0000 0.0000 0.1000
# Formation energy (no corrections) in eV/atom: -0.961
# Relative energy among the computed polymorphs in meV per atom: 488


Record 2
# GGA-PBE ErPa2Se3, optimized geometry
data_ErPa2Se3
_cell_length_a 8.027
_cell_length_b 5.732
_cell_length_c 12.300
_cell_angle_alpha 90.00
_cell_angle_beta 90.00
_cell_angle_gamma 90.00
_space_group_name_H-M_alt 'P n m a'
_space_group_IT_number 62
_space_group_name_Hall '-P 2ac 2n'
loop_
_atom_site_label
_atom_site_type_symbol
_atom_site_fract_x
_atom_site_fract_y
_atom_site_fract_z
Er1 Er 0.130 0.250 0.086
Pa1 Pa 0.121 0.250 0.418
Pa2 Pa 0.124 0.250 0.748
Se1 Se 0.120 0.750 0.079
Se2 Se 0.125 0.750 0.753
Se3 Se 0.133 0.750 0.418
# Formation energy (no corrections) in eV/atom: -1.361


Record 3
# GGA-PBE ErPaSe3, optimized geometry
data_ErPaSe3
_cell_length_a 4.0670
_cell_length_b 4.0670
_cell_length_c 20.7926
_cell_angle_alpha 90.00
_cell_angle_beta 90.00
_cell_angle_gamma 120.00
_space_group_name_H-M_alt 'P 63 m c'
_space_group_IT_number 186
_space_group_name_Hall 'P 6c -2c'
loop_
_atom_site_label
_atom_site_type_symbol
_atom_site_fract_x
_atom_site_fract_y
_atom_site_fract_z
Er1 Er 0.0000 0.0000 0.0000
Pa1 Pa 0.3333 0.6667 0.3235
Se1 Se 0.0000 0.0000 0.2465
Se2 Se 0.3333 0.6667 0.5681
Se3 Se 0.3333 0.6667 0.9118
# Formation energy (no corrections) in eV/atom: -1.487
# Relative energy among the computed polymorphs in meV per atom: 5


Record 4
# GGA-PBE ErPaSe3, optimized geometry
data_ErPaSe3
_cell_length_a 7.089
_cell_length_b 4.073
_cell_length_c 10.405
_cell_angle_alpha 90.00
_cell_angle_beta 101.65
_cell_angle_gamma 90.00
_space_group_name_H-M_alt 'P 1 21/m 1'
_space_group_IT_number 11
_space_group_name_Hall '-P 2yb'
loop_
_atom_site_label
_atom_site_type_symbol
_atom_site_fract_x
_atom_site_fract_y
_atom_site_fract_z
Er1 Er 0.236 0.250 0.483
Pa1 Pa 0.358 0.250 0.843
Se1 Se 0.020 0.750 0.336
Se2 Se 0.258 0.750 0.007
Se3 Se 0.448 0.750 0.653
# Formation energy (no corrections) in eV/atom: -1.492
# Relative energy among the computed polymorphs in meV per atom: 0


Record 5
# GGA-PBE ErPa5Se6, optimized geometry
data_ErPa5Se6
_cell_length_a 7.337
_cell_length_b 11.986
_cell_length_c 6.814
_cell_angle_alpha 90.00
_cell_angle_beta 108.56
_cell_angle_gamma 90.00
_space_group_name_H-M_alt 'C 1 2/m 1'
_space_group_IT_number 12
_space_group_name_Hall '-C 2y'
loop_
_atom_site_label
_atom_site_type_symbol
_atom_site_fract_x
_atom_site_fract_y
_atom_site_fract_z
Er1 Er 0.000 0.000 0.000
Pa1 Pa 0.000 0.171 0.500
Pa2 Pa 0.000 0.336 0.000
Pa3 Pa 0.000 0.500 0.500
Se1 Se 0.242 0.000 0.748
Se2 Se 0.244 0.165 0.244
# Formation energy (no corrections) in eV/atom: -1.278


Record 6
# GGA-PBE ErPa2Se6, optimized geometry
data_ErPa2Se6
_cell_length_a 18.133
_cell_length_b 4.166
_cell_length_c 8.444
_cell_angle_alpha 90.00
_cell_angle_beta 104.32
_cell_angle_gamma 90.00
_space_group_name_H-M_alt 'C 1 2/m 1'
_space_group_IT_number 12
_space_group_name_Hall '-C 2y'
loop_
_atom_site_label
_atom_site_type_symbol
_atom_site_fract_x
_atom_site_fract_y
_atom_site_fract_z
Er1 Er 0.000 0.000 0.000
Pa1 Pa 0.164 0.500 0.325
Se1 Se 0.007 0.500 0.235
Se2 Se 0.163 0.000 0.100
Se3 Se 0.173 0.000 0.561
# Formation energy (no corrections) in eV/atom: -1.475
# Relative energy among the computed polymorphs in meV per atom: 0